[1]
La2PmAgC | GGA-PBE | optimized geometry

Space-group type: P4mm, No. 99
Size of the total moment: 0.00 μB/atom
Energy of formation from the pure elements: -0.07 eV/atom
DFT total energy: -5.402 eV per atom
N(E_F): 5.46 states/eV/cell

a b c (Å): 5.1290 5.1263 5.2233
angles (deg): 90.00 90.00 90.00
Atoms (fractional coordinates):
Pm 0.0000 0.0000 0.4856
C 0.0000 0.0000 0.0350
La 0.5000 0.0000 0.9888
La 0.0000 0.5000 0.9882
Ag 0.5000 0.5000 0.5025


[2]
La2PrAgC | GGA-PBE | optimized geometry

Space-group type: P4mm, No. 99
Size of the total moment: 0.00 μB/atom
Energy of formation from the pure elements: -0.05 eV/atom
DFT total energy: -5.391 eV per atom
N(E_F): 5.13 states/eV/cell

a b c (Å): 5.0854 5.0795 5.4181
angles (deg): 90.00 90.00 90.00
Atoms (fractional coordinates):
C 0.0000 0.0000 0.0423
La 0.0000 0.5000 0.9859
Ag 0.5000 0.5000 0.5024
La 0.5000 0.0000 0.9870
Pr 0.0000 0.0000 0.4825


[3]
La2AgPtC | GGA-PBE | optimized geometry

Space-group type: P4/mmm, No. 123
Size of the total moment: 0.00 μB/atom
Energy of formation from the pure elements: -0.43 eV/atom
DFT total energy: -6.029 eV per atom
N(E_F): 3.64 states/eV/cell

a b c (Å): 5.4219 5.4219 3.9215
angles (deg): 90.00 90.00 90.00
Atoms (fractional coordinates):
Ag 0.5000 0.5000 0.5000
C 0.0000 0.0000 0.0000
La 0.0000 0.5000 0.0000
Pt 0.0000 0.0000 0.5000
La 0.5000 0.0000 0.0000


[4]
La6Ag2PtC | GGA-PBE | optimized geometry

Space-group type: P2_1/c, No. 14
Size of the total moment: 0.00 μB/atom
Energy of formation from the pure elements: -0.35 eV/atom
DFT total energy: -5.408 eV per atom
N(E_F): 21.85 states/eV/cell

a b c (Å): 7.0243 7.9075 10.6838
angles (deg): 90.00 88.74 90.00
Atoms (fractional coordinates):
La 0.8809 0.5289 0.2344
Ag 0.5543 0.5954 0.7452
C 0.0000 0.5000 0.0000
Pt 0.5000 0.0000 0.0000
La 0.1941 0.1745 0.4444
Ag 0.9457 0.0954 0.7548
Ag 0.0543 0.9046 0.2452
La 0.3059 0.6745 0.0556
La 0.3430 0.7090 0.4467
Pt 0.0000 0.5000 0.5000
La 0.8430 0.7910 0.9467
La 0.1191 0.4711 0.7656
La 0.3809 0.9711 0.7344
Ag 0.4457 0.4046 0.2548
La 0.8059 0.8255 0.5556
C 0.5000 0.0000 0.5000
La 0.1570 0.2090 0.0533
La 0.6941 0.3255 0.9444
La 0.6191 0.0289 0.2656
La 0.6570 0.2910 0.5533


[5]
La8Ag2RhC | GGA-PBE | optimized geometry

Space-group type: P-1, No. 2
Size of the total moment: 0.00 μB/atom
Energy of formation from the pure elements: -0.21 eV/atom
DFT total energy: -5.355 eV per atom
N(E_F): 12.89 states/eV/cell

a b c (Å): 7.2045 6.7225 7.7696
angles (deg): 77.23 92.59 86.87
Atoms (fractional coordinates):
La 0.1912 0.7790 0.8021
La 0.8088 0.2210 0.1979
C 0.0000 0.0000 0.0000
La 0.9481 0.2900 0.7193
La 0.2891 0.1508 0.0949
La 0.4032 0.2237 0.5367
La 0.0519 0.7100 0.2807
Ag 0.4552 0.5771 0.1637
La 0.5968 0.7763 0.4633
La 0.7109 0.8492 0.9051
Ag 0.5448 0.4229 0.8363
Rh 0.0000 0.0000 0.5000


[6]
La8AgRh2C | GGA-PBE | optimized geometry

Space-group type: P-1, No. 2
Size of the total moment: 0.00 μB/atom
Energy of formation from the pure elements: -0.26 eV/atom
DFT total energy: -5.779 eV per atom
N(E_F): 12.67 states/eV/cell

a b c (Å): 6.8000 6.7154 8.4285
angles (deg): 89.90 89.99 89.22
Atoms (fractional coordinates):
La 0.6368 0.7305 0.4998
La 0.1539 0.7582 0.2104
La 0.6794 0.7678 0.9994
Ag 0.0000 0.0000 0.5000
Rh 0.4999 0.4997 0.7578
La 0.3206 0.2322 0.0006
C 0.0000 0.0000 0.0000
La 0.3632 0.2695 0.5002
La 0.8461 0.2418 0.7896
La 0.1545 0.7586 0.7903
Rh 0.5001 0.5003 0.2422
La 0.8455 0.2414 0.2097


[7]
La2AgRhC | GGA-PBE | optimized geometry

Space-group type: P4/mmm, No. 123
Size of the total moment: 0.00 μB/atom
Energy relative to the lowest polymorph listed for this composition: 0.000 eV per atom
Energy of formation from the pure elements: -0.37 eV/atom
DFT total energy: -6.224 eV per atom
N(E_F): 1.84 states/eV/cell

a b c (Å): 5.3685 5.3685 3.9245
angles (deg): 90.00 90.00 90.00
Atoms (fractional coordinates):
C 0.0000 0.0000 0.0000
La 0.0000 0.5000 0.0000
Ag 0.5000 0.5000 0.5000
La 0.5000 0.0000 0.0000
Rh 0.0000 0.0000 0.5000


[8]
La2AgRhC | GGA-PBE | optimized geometry

Space-group type: P4/mmm, No. 123
Size of the total moment: 0.00 μB/atom
Energy relative to the lowest polymorph listed for this composition: 0.436 eV per atom
Energy of formation from the pure elements: 0.07 eV/atom
DFT total energy: -5.788 eV per atom
N(E_F): 3.71 states/eV/cell

a b c (Å): 5.6315 3.9191 5.6315
angles (deg): 90.00 90.00 90.00
Atoms (fractional coordinates):
La 0.0000 0.0000 0.5000
Ag 0.5000 0.5000 0.5000
C 0.0000 0.5000 0.0000
La 0.5000 0.0000 0.0000
Rh 0.0000 0.0000 0.0000